First-principles (PBE) data for a geometry-optimized YGaSb2Te structure, as listed in Alexandria.

Unit cell a=5.2728 b=5.2728 c=5.4085 alpha=90.00 beta=90.00 gamma=90.00
Closest atoms and distances in Å follow each position.
Atoms (fractional coordinates):
Y1 0.0000 0.0000 0.0000  4 Te 3.73, 8 Sb 3.78
Ga1 0.5000 0.5000 0.5000  4 Sb 2.64, 2 Te 2.70
Sb1 0.0000 0.5000 0.5000  2 Ga 2.64
Sb2 0.5000 0.0000 0.5000  2 Ga 2.64
Te1 0.5000 0.5000 0.0000  2 Ga 2.70

Output
Formation energy (no corrections) (eV per formula unit): 0.4
Offset from the most stable computed form (kJ/mol of atoms): 0.00
Magnetization (μB per formula unit): 0.00
Final energy (eV/atom): -4.0856